The following is a PBE-GGA calculation of a geometry-optimized Y4SbTe2 structure, from the Alexandria database.

Results
Relative energy among the computed polymorphs: 0 meV per atom
ρ: 5.724 g cm⁻³
E_form (uncorrected): -1.0260 eV/atom
SG: Cmcm
E: -0.4562 Ry per atom

a = 4.2137 Å, b = 7.2596 Å, c = 14.5193 Å
α = 90.00°, β = 90.00°, γ = 106.87°
Closest atoms and distances in Å follow each position.
Fractional positions:
Y1 0.9356 0.8713 0.7500  2 Te 2.95, 2 Sb 3.06
Y2 0.5000 0.0000 0.0000  4 Te 3.03
Y3 0.2147 0.4293 0.8686  3 Te 2.97-3.06, 2 Sb 3.19
Y4 0.2147 0.4293 0.6314  3 Te 2.97-3.06, 2 Sb 3.19
Y5 0.7853 0.5707 0.3686  3 Te 2.97-3.06, 2 Sb 3.19
Y6 0.0644 0.1287 0.2500  2 Te 2.95, 2 Sb 3.06
Y7 0.5000 0.0000 0.5000  4 Te 3.03
Y8 0.7853 0.5707 0.1314  3 Te 2.97-3.06, 2 Sb 3.19
Sb1 0.4047 0.8093 0.2500  6 Y 3.06-3.19
Sb2 0.5953 0.1907 0.7500  6 Y 3.06-3.19
Te1 0.1430 0.2861 0.4386  6 Y 2.95-3.06
Te2 0.8570 0.7139 0.9386  6 Y 2.95-3.06
Te3 0.8570 0.7139 0.5614  6 Y 2.95-3.06
Te4 0.1430 0.2861 0.0614  6 Y 2.95-3.06

The following is a PBE-GGA calculation of a geometry-optimized YSb2Te structure, from the Alexandria database.

Results
ρ: 6.896 g cm⁻³
E_form (uncorrected): -0.3940 eV/atom
SG: Cmmm
E: -0.3570 Ry per atom

a = 5.3019 Å, b = 5.3019 Å, c = 4.0435 Å
α = 90.00°, β = 90.00°, γ = 102.97°
Closest atoms and distances in Å follow each position.
Fractional positions:
Te1 0.5000 0.0000 0.5000  2 Y 3.30, 8 Sb 3.33
Sb1 0.5000 0.5000 0.0000  2 Sb 3.30, 4 Y 3.33, 4 Te 3.33
Sb2 0.0000 0.0000 0.0000  2 Sb 3.30, 4 Te 3.33, 4 Y 3.33
Y1 0.0000 0.5000 0.5000  2 Te 3.30, 8 Sb 3.33

The following is a PBE-GGA calculation of a geometry-optimized YSb2Te structure, from the Alexandria database.

Results
ρ: 6.792 g cm⁻³
E_form (uncorrected): -0.0992 eV/atom
SG: R-3m
E: -0.3353 Ry per atom

a = 10.3467 Å, b = 10.3467 Å, c = 10.3467 Å
α = 19.92°, β = 19.92°, γ = 19.92°
Closest atoms and distances in Å follow each position.
Fractional positions:
Sb1 0.0020 0.0020 0.0020  3 Y 3.22, 3 Te 3.32, 6 Sb 3.58
Sb2 0.4980 0.4980 0.4980  3 Y 3.22, 3 Te 3.32, 6 Sb 3.58
Te1 0.2500 0.2500 0.2500  6 Sb 3.32, 6 Te 3.58
Y1 0.7500 0.7500 0.7500  6 Sb 3.22, 6 Y 3.58

The following is a PBE-GGA calculation of a geometry-optimized YSbTe2 structure, from the Alexandria database.

Results
ρ: 6.092 g cm⁻³
E_form (uncorrected): -0.4795 eV/atom
SG: R-3m
E: -0.3452 Ry per atom

a = 9.1783 Å, b = 9.1783 Å, c = 9.1783 Å
α = 25.59°, β = 25.59°, γ = 25.59°
Closest atoms and distances in Å follow each position.
Fractional positions:
Te1 0.9913 0.9913 0.9913  3 Y 3.08, 3 Sb 3.39
Te2 0.5087 0.5087 0.5087  3 Y 3.08, 3 Sb 3.39
Y1 0.2500 0.2500 0.2500  6 Te 3.08
Sb1 0.7500 0.7500 0.7500  6 Te 3.39

The following is a PBE-GGA calculation of a geometry-optimized YSbTe2 structure, from the Alexandria database.

Results
ρ: 6.879 g cm⁻³
E_form (uncorrected): -0.4244 eV/atom
SG: I4/mmm
E: -0.3412 Ry per atom

a = 6.2475 Å, b = 6.2475 Å, c = 6.2475 Å
α = 136.90°, β = 136.90°, γ = 62.59°
Closest atoms and distances in Å follow each position.
Fractional positions:
Te1 0.0000 0.0000 0.0000  4 Te 3.25, 4 Sb 3.52, 4 Y 3.52
Te2 0.5000 0.5000 0.0000  4 Te 3.25, 4 Y 3.52, 4 Sb 3.52
Y1 0.2500 0.7500 0.5000  4 Sb 3.25, 8 Te 3.52
Sb1 0.7500 0.2500 0.5000  4 Y 3.25, 8 Te 3.52

The following is a PBE-GGA calculation of a geometry-optimized YSbTe2 structure, from the Alexandria database.

Results
ρ: 6.610 g cm⁻³
E_form (uncorrected): -0.6224 eV/atom
SG: P2/m
E: -0.3557 Ry per atom

a = 3.9972 Å, b = 4.1513 Å, c = 7.6520 Å
α = 67.18°, β = 90.00°, γ = 90.00°
Closest atoms and distances in Å follow each position.
Fractional positions:
Sb1 0.5000 0.7500 0.7500  4 Te 3.06
Te1 0.0000 0.8800 0.0181  2 Sb 3.06, 4 Y 3.22-3.41, 1 Te 3.28
Te2 0.0000 0.6200 0.4819  2 Sb 3.06, 4 Y 3.22-3.41, 1 Te 3.28
Y1 0.5000 0.2500 0.2500  8 Te 3.22-3.41, 2 Sb 3.58

The following is a PBE-GGA calculation of a geometry-optimized YSbTe structure, from the Alexandria database.

Results
ρ: 5.631 g cm⁻³
E_form (uncorrected): -0.5881 eV/atom
SG: F-43m
E: -0.3796 Ry per atom

a = 5.2058 Å, b = 5.2058 Å, c = 5.2058 Å
α = 60.00°, β = 60.00°, γ = 60.00°
Closest atoms and distances in Å follow each position.
Fractional positions:
Sb1 0.0000 0.0000 0.0000  4 Y 3.19
Y1 0.7500 0.7500 0.7500  4 Sb 3.19, 4 Te 3.19
Te1 0.5000 0.5000 0.5000  4 Y 3.19

The following is a PBE-GGA calculation of a geometry-optimized Y4Sb3Te structure, from the Alexandria database.

Results
Relative energy among the computed polymorphs: 9 meV per atom
ρ: 5.915 g cm⁻³
E_form (uncorrected): -1.2327 eV/atom
SG: Pm-3m
E: -0.4706 Ry per atom

a = 6.1990 Å, b = 6.1990 Å, c = 6.1990 Å
α = 90.00°, β = 90.00°, γ = 90.00°
Closest atoms and distances in Å follow each position.
Fractional positions:
Sb1 0.0000 0.5000 0.5000  6 Y 3.10
Sb2 0.5000 0.5000 0.0000  6 Y 3.10
Sb3 0.5000 0.0000 0.5000  6 Y 3.10
Y1 0.5000 0.0000 0.0000  4 Sb 3.10, 2 Te 3.10
Y2 0.0000 0.5000 0.0000  4 Sb 3.10, 2 Te 3.10
Y3 0.5000 0.5000 0.5000  6 Sb 3.10
Y4 0.0000 0.0000 0.5000  4 Sb 3.10, 2 Te 3.10
Te1 0.0000 0.0000 0.0000  6 Y 3.10